[1]
The following is a GGA-PBEsol calculation of crystalline NaSOF2 at its relaxed geometry, from Alexandria.

The space group is P4/mmm (No. 123) and the conventional cell measures 3.892, 3.892 and 4.243 Å, with angles of 90.00, 90.00 and 90.00 degrees. Symmetry generates all atoms from Na at (0.000, 0.000, 0.000), S at (0.500, 0.500, 0.500), O at (0.000, 0.000, 0.500) and F at (0.000, 0.500, 0.000).

As for the calculated volume: 64.3 Å³/cell. As for the raw total energy: -2.977 eV per atom. The value obtained for the density of states at the Fermi level is 4.5 states/eV per cell. As for the formation energy (no corrections): 0.0 eV per formula unit.

=====

[2]
The following is a GGA-PBEsol calculation of crystalline Na3VS2O8F2 at its relaxed geometry, from Alexandria.

The space group is Pbcn (No. 60) and the conventional cell measures 8.880, 13.845 and 6.639 Å, with angles of 90.00, 90.00 and 90.00 degrees. Symmetry generates all atoms from Na at (0.000, 0.046, 0.250), Na at (0.170, 0.401, 0.016), V at (0.000, 0.200, 0.750), S at (0.196, 0.358, 0.500), O at (0.054, 0.301, 0.552), O at (0.148, 0.438, 0.371), O at (0.206, 0.211, 0.884), O at (0.231, 0.109, 0.184) and F at (0.069, 0.099, 0.575).

As for the calculated volume: 816.3 Å³/cell. As for the raw total energy: -6.275 eV per atom. The value obtained for the density of states at the Fermi level is 23.4 states/eV per cell. As for the formation energy (no corrections): -31.9 eV per formula unit.

=====

[3]
The following is a GGA-PBEsol calculation of crystalline NaSiO2F at its relaxed geometry, from Alexandria.

The space group is P4/mmm (No. 123) and the conventional cell measures 3.441, 3.441 and 3.847 Å, with angles of 90.00, 90.00 and 90.00 degrees. Symmetry generates all atoms from Na at (0.000, 0.000, 0.000), Si at (0.500, 0.500, 0.500), O at (0.000, 0.500, 0.500) and F at (0.500, 0.500, 0.000).

As for the calculated volume: 45.6 Å³/cell. As for the raw total energy: -6.370 eV per atom. The value obtained for the density of states at the Fermi level is 0.0 states/eV per cell. As for the formation energy (no corrections): -12.3 eV per formula unit.

=====

[4]
The following is a GGA-PBEsol calculation of crystalline Na3Si3SnO9F at its relaxed geometry, from Alexandria.

The space group is C2/m (No. 12) and the conventional cell measures 10.612, 14.038 and 6.551 Å, with angles of 90.00, 111.81 and 90.00 degrees. Symmetry generates all atoms from Na at (0.012, 0.000, 0.262), Na at (0.242, 0.135, 0.079), Si at (0.000, 0.286, 0.000), Si at (0.203, 0.389, 0.399), Sn at (0.000, 0.224, 0.500), O at (0.052, 0.223, 0.839), O at (0.129, 0.354, 0.140), O at (0.134, 0.114, 0.536), O at (0.150, 0.325, 0.557), O at (0.159, 0.500, 0.409) and F at (0.149, 0.000, 0.068).

As for the calculated volume: 906.1 Å³/cell. As for the raw total energy: -6.880 eV per atom. The value obtained for the density of states at the Fermi level is 0.0 states/eV per cell. As for the formation energy (no corrections): -42.1 eV per formula unit.

=====

[5]
The following is a GGA-PBEsol calculation of crystalline Na5Tb4Si4O16F at its relaxed geometry, from Alexandria.

The space group is I-4 (No. 82) and the conventional cell measures 11.568, 11.568 and 5.404 Å, with angles of 90.00, 90.00 and 90.00 degrees. Symmetry generates all atoms from Na at (0.000, 0.000, 0.000), Na at (0.089, 0.605, 0.490), Tb at (0.115, 0.182, 0.476), Si at (0.104, 0.753, 0.989), O at (0.033, 0.793, 0.741), O at (0.049, 0.815, 0.233), O at (0.110, 0.612, 0.018), O at (0.204, 0.237, 0.071) and F at (0.000, 0.000, 0.500).

As for the calculated volume: 723.2 Å³/cell. As for the raw total energy: -7.505 eV per atom. The value obtained for the density of states at the Fermi level is 0.0 states/eV per cell. As for the formation energy (no corrections): -89.2 eV per formula unit.

=====

[6]
The following is a GGA-PBEsol calculation of crystalline NaTlOF2 at its relaxed geometry, from Alexandria.

The space group is P4/mmm (No. 123) and the conventional cell measures 4.004, 4.004 and 4.287 Å, with angles of 90.00, 90.00 and 90.00 degrees. Symmetry generates all atoms from Na at (0.000, 0.000, 0.000), Tl at (0.500, 0.500, 0.500), O at (0.000, 0.000, 0.500) and F at (0.000, 0.500, 0.000).

As for the calculated volume: 68.7 Å³/cell. As for the raw total energy: -3.696 eV per atom. The value obtained for the density of states at the Fermi level is 3.3 states/eV per cell. As for the formation energy (no corrections): -5.3 eV per formula unit.

=====

[7]
The following is a GGA-PBEsol calculation of crystalline NaTlO2F at its relaxed geometry, from Alexandria.

The space group is P4/mmm (No. 123) and the conventional cell measures 4.131, 4.131 and 4.582 Å, with angles of 90.00, 90.00 and 90.00 degrees. Symmetry generates all atoms from Na at (0.000, 0.000, 0.000), Tl at (0.500, 0.500, 0.500), O at (0.000, 0.500, 0.500) and F at (0.500, 0.500, 0.000).

As for the calculated volume: 78.2 Å³/cell. As for the raw total energy: -4.228 eV per atom. The value obtained for the density of states at the Fermi level is 2.1 states/eV per cell. As for the formation energy (no corrections): -4.7 eV per formula unit.

=====

[8]
The following is a GGA-PBEsol calculation of crystalline NaVO2F2 at its relaxed geometry, from Alexandria.

The space group is P2_1 (No. 4) and the conventional cell measures 6.393, 3.550 and 7.163 Å, with angles of 90.00, 109.60 and 90.00 degrees. Symmetry generates all atoms from Na at (0.127, 0.000, 0.218), V at (0.368, 0.041, 0.791), O at (0.219, 0.043, 0.562), O at (0.409, 0.514, 0.863), F at (0.127, 0.999, 0.890) and F at (0.356, 0.498, 0.239).

As for the calculated volume: 153.1 Å³/cell. As for the raw total energy: -6.832 eV per atom. The value obtained for the density of states at the Fermi level is 0.0 states/eV per cell. As for the formation energy (no corrections): -15.6 eV per formula unit.